Entry w
# MgTaSnN

A relaxed MgTaSnN crystal (GGA-PBE, Alexandria via LeMat-Bulk).

Properties
Its volume is 17.98 Å³/atom.

```
data_MgTaSnN
_space_group_name_H-M_alt 'P 1'
_space_group_IT_number 1
_space_group_name_Hall 'P 1'
_cell_length_a 3.2345
_cell_length_b 3.2387
_cell_length_c 8.1356
_cell_angle_alpha 78.52
_cell_angle_beta 78.63
_cell_angle_gamma 60.12
loop_
_atom_site_label
_atom_site_type_symbol
_atom_site_fract_x
_atom_site_fract_y
_atom_site_fract_z
Mg1 Mg 0.0000 0.0000 0.0000
Ta1 Ta 0.2220 0.2204 0.3396
Sn1 Sn 0.7822 0.7790 0.6615
N1 N 0.2985 0.2983 0.1064
```

---

Entry x
# MgTaSnN

A relaxed MgTaSnN crystal (GGA-PBE, Alexandria via LeMat-Bulk).

Properties
Its volume is 18.53 Å³/atom.

```
data_MgTaSnN
_space_group_name_H-M_alt 'A m m 2'
_space_group_IT_number 38
_space_group_name_Hall 'A 2 -2'
_cell_length_a 3.2618
_cell_length_b 3.2991
_cell_length_c 13.7771
_cell_angle_alpha 90.00
_cell_angle_beta 90.00
_cell_angle_gamma 90.00
loop_
_atom_site_label
_atom_site_type_symbol
_atom_site_fract_x
_atom_site_fract_y
_atom_site_fract_z
Mg1 Mg 0.0000 0.0000 0.0000
Ta1 Ta 0.5000 0.0000 0.3288
Sn1 Sn 0.0000 0.0000 0.6781
N1 N 0.5000 0.0000 0.9102
```

---

Stability ranking, top and bottom: entry x is the most stable and entry w is the least stable.

---

Entry w
# MgTaSnN

A relaxed MgTaSnN crystal (GGA-PBE, Alexandria via LeMat-Bulk).

Properties
Its volume is 16.87 Å³/atom.

```
data_MgTaSnN
_space_group_name_H-M_alt 'I m m 2'
_space_group_IT_number 44
_space_group_name_Hall 'I 2 -2'
_cell_length_a 3.1354
_cell_length_b 3.6461
_cell_length_c 11.8080
_cell_angle_alpha 90.00
_cell_angle_beta 90.00
_cell_angle_gamma 90.00
loop_
_atom_site_label
_atom_site_type_symbol
_atom_site_fract_x
_atom_site_fract_y
_atom_site_fract_z
Mg1 Mg 0.0000 0.0000 0.0000
Ta1 Ta 0.0000 0.0000 0.3362
Sn1 Sn 0.0000 0.0000 0.6988
N1 N 0.0000 0.0000 0.4999
```

---

Entry x
# MgTaSnN

A relaxed MgTaSnN crystal (GGA-PBE, Alexandria via LeMat-Bulk).

Properties
Its volume is 15.81 Å³/atom.

```
data_MgTaSnN
_space_group_name_H-M_alt 'P 3 m 1'
_space_group_IT_number 156
_space_group_name_Hall 'P 3 -2"'
_cell_length_a 3.0915
_cell_length_b 3.0915
_cell_length_c 7.6387
_cell_angle_alpha 90.00
_cell_angle_beta 90.00
_cell_angle_gamma 120.00
loop_
_atom_site_label
_atom_site_type_symbol
_atom_site_fract_x
_atom_site_fract_y
_atom_site_fract_z
Mg1 Mg 0.0000 0.0000 0.0000
Ta1 Ta 0.0000 0.0000 0.3532
Sn1 Sn 0.3333 0.6667 0.6637
N1 N 0.6667 0.3333 0.1740
```

---

Entry y
# MgTaSnN

A relaxed MgTaSnN crystal (GGA-PBE, Alexandria via LeMat-Bulk).

Properties
Its volume is 20.22 Å³/atom.

```
data_MgTaSnN
_space_group_name_H-M_alt 'R 3 m'
_space_group_IT_number 160
_space_group_name_Hall 'R 3 -2"'
_cell_length_a 3.2494
_cell_length_b 3.2494
_cell_length_c 26.5317
_cell_angle_alpha 90.00
_cell_angle_beta 90.00
_cell_angle_gamma 120.00
loop_
_atom_site_label
_atom_site_type_symbol
_atom_site_fract_x
_atom_site_fract_y
_atom_site_fract_z
Mg1 Mg 0.0000 0.0000 0.0000
Ta1 Ta 0.0000 0.0000 0.1315
Sn1 Sn 0.0000 0.0000 0.2397
N1 N 0.0000 0.0000 0.7705
```

---

Entry z
# MgTaSnN

A relaxed MgTaSnN crystal (GGA-PBE, Alexandria via LeMat-Bulk).

Properties
Its volume is 17.74 Å³/atom.

```
data_MgTaSnN
_space_group_name_H-M_alt 'I m m 2'
_space_group_IT_number 44
_space_group_name_Hall 'I 2 -2'
_cell_length_a 3.0984
_cell_length_b 5.6676
_cell_length_c 8.0822
_cell_angle_alpha 90.00
_cell_angle_beta 90.00
_cell_angle_gamma 90.00
loop_
_atom_site_label
_atom_site_type_symbol
_atom_site_fract_x
_atom_site_fract_y
_atom_site_fract_z
Mg1 Mg 0.0000 0.0000 0.0000
Ta1 Ta 0.0000 0.0000 0.6431
Sn1 Sn 0.0000 0.5000 0.8316
N1 N 0.0000 0.5000 0.2943
```

---

Stability ranking, top and bottom: entry x is the most stable and entry w is the least stable.

---

Entry w
# MgTaSnN

A relaxed MgTaSnN crystal (GGA-PBE, Alexandria via LeMat-Bulk).

Properties
Its volume is 15.65 Å³/atom.

```
data_MgTaSnN
_space_group_name_H-M_alt 'R 3 m'
_space_group_IT_number 160
_space_group_name_Hall 'R 3 -2"'
_cell_length_a 3.1135
_cell_length_b 3.1135
_cell_length_c 22.3768
_cell_angle_alpha 90.00
_cell_angle_beta 90.00
_cell_angle_gamma 120.00
loop_
_atom_site_label
_atom_site_type_symbol
_atom_site_fract_x
_atom_site_fract_y
_atom_site_fract_z
Mg1 Mg 0.0000 0.0000 0.0000
Ta1 Ta 0.0000 0.0000 0.7781
Sn1 Sn 0.0000 0.0000 0.5515
N1 N 0.0000 0.0000 0.3849
```

---

Entry x
# MgTaSnN

A relaxed MgTaSnN crystal (GGA-PBE, Alexandria via LeMat-Bulk).

Properties
Its volume is 18.27 Å³/atom.

```
data_MgTaSnN
_space_group_name_H-M_alt 'P 1'
_space_group_IT_number 1
_space_group_name_Hall 'P 1'
_cell_length_a 2.9974
_cell_length_b 3.0245
_cell_length_c 8.1873
_cell_angle_alpha 100.05
_cell_angle_beta 90.15
_cell_angle_gamma 90.00
loop_
_atom_site_label
_atom_site_type_symbol
_atom_site_fract_x
_atom_site_fract_y
_atom_site_fract_z
Mg1 Mg 0.0000 0.0000 0.0000
Ta1 Ta 0.5023 0.6350 0.2873
Sn1 Sn 0.5018 0.8028 0.6650
N1 N 0.0023 0.1380 0.2959
```

---

Entry y
# MgTaSnN

A relaxed MgTaSnN crystal (GGA-PBE, Alexandria via LeMat-Bulk).

Properties
Its volume is 15.68 Å³/atom.

```
data_MgTaSnN
_space_group_name_H-M_alt 'C 1 m 1'
_space_group_IT_number 8
_space_group_name_Hall 'C -2y'
_cell_length_a 5.3891
_cell_length_b 3.1208
_cell_length_c 7.6712
_cell_angle_alpha 90.00
_cell_angle_beta 103.57
_cell_angle_gamma 90.00
loop_
_atom_site_label
_atom_site_type_symbol
_atom_site_fract_x
_atom_site_fract_y
_atom_site_fract_z
Mg1 Mg 0.0000 0.0000 0.0000
Ta1 Ta 0.0550 0.5000 0.6671
Sn1 Sn 0.2809 0.5000 0.3475
N1 N 0.2824 0.0000 0.8468
```

---

Entry z
# MgTaSnN

A relaxed MgTaSnN crystal (GGA-PBE, Alexandria via LeMat-Bulk).

Properties
Its volume is 17.83 Å³/atom.

```
data_MgTaSnN
_space_group_name_H-M_alt 'P 4 m m'
_space_group_IT_number 99
_space_group_name_Hall 'P 4 -2'
_cell_length_a 3.0449
_cell_length_b 3.0449
_cell_length_c 7.6931
_cell_angle_alpha 90.00
_cell_angle_beta 90.00
_cell_angle_gamma 90.00
loop_
_atom_site_label
_atom_site_type_symbol
_atom_site_fract_x
_atom_site_fract_y
_atom_site_fract_z
Mg1 Mg 0.0000 0.0000 0.0000
Ta1 Ta 0.5000 0.5000 0.3064
Sn1 Sn 0.0000 0.0000 0.6077
N1 N 0.5000 0.5000 0.0617
```

---

Stability ranking, top and bottom: entry y is the most stable and entry x is the least stable.

---

Entry w
# MgSnTe2N

A relaxed MgSnTe2N crystal (GGA-PBE, Alexandria via LeMat-Bulk).

Properties
Its volume is 26.46 Å³/atom.

```
data_MgSnTe2N
_space_group_name_H-M_alt 'P 4/m m m'
_space_group_IT_number 123
_space_group_name_Hall '-P 4 2'
_cell_length_a 5.7998
_cell_length_b 5.7998
_cell_length_c 3.9335
_cell_angle_alpha 90.00
_cell_angle_beta 90.00
_cell_angle_gamma 90.00
loop_
_atom_site_label
_atom_site_type_symbol
_atom_site_fract_x
_atom_site_fract_y
_atom_site_fract_z
Mg1 Mg 0.0000 0.0000 0.0000
Sn1 Sn 0.5000 0.5000 0.5000
Te1 Te 0.0000 0.5000 0.0000
N1 N 0.0000 0.0000 0.5000
```

---

Entry x
# MgSnTe2N

A relaxed MgSnTe2N crystal (GGA-PBE, Alexandria via LeMat-Bulk).

Properties
Its volume is 37.41 Å³/atom.

```
data_MgSnTe2N
_space_group_name_H-M_alt 'P 4/m m m'
_space_group_IT_number 123
_space_group_name_Hall '-P 4 2'
_cell_length_a 5.8534
_cell_length_b 5.8534
_cell_length_c 5.4593
_cell_angle_alpha 90.00
_cell_angle_beta 90.00
_cell_angle_gamma 90.00
loop_
_atom_site_label
_atom_site_type_symbol
_atom_site_fract_x
_atom_site_fract_y
_atom_site_fract_z
Mg1 Mg 0.0000 0.0000 0.0000
Sn1 Sn 0.0000 0.0000 0.5000
Te1 Te 0.0000 0.5000 0.5000
N1 N 0.5000 0.5000 0.0000
```

---

Entry y
# MgSnTe2N

A relaxed MgSnTe2N crystal (GGA-PBE, Alexandria via LeMat-Bulk).

Properties
Its volume is 27.44 Å³/atom.

```
data_MgSnTe2N
_space_group_name_H-M_alt 'P 4/m m m'
_space_group_IT_number 123
_space_group_name_Hall '-P 4 2'
_cell_length_a 5.9349
_cell_length_b 5.9349
_cell_length_c 3.8948
_cell_angle_alpha 90.00
_cell_angle_beta 90.00
_cell_angle_gamma 90.00
loop_
_atom_site_label
_atom_site_type_symbol
_atom_site_fract_x
_atom_site_fract_y
_atom_site_fract_z
Mg1 Mg 0.0000 0.0000 0.0000
Sn1 Sn 0.5000 0.5000 0.5000
Te1 Te 0.0000 0.5000 0.5000
N1 N 0.5000 0.5000 0.0000
```

---

Stability ranking, top and bottom: entry w is the most stable and entry x is the least stable.

---

Entry w
# Sr2MgN

A relaxed Sr2MgN crystal (GGA-PBE, Alexandria via LeMat-Bulk).

Properties
Its volume is 26.57 Å³/atom.

```
data_Sr2MgN
_space_group_name_H-M_alt 'F m -3 m'
_space_group_IT_number 225
_space_group_name_Hall '-F 4 2 3'
_cell_length_a 7.5192
_cell_length_b 7.5192
_cell_length_c 7.5192
_cell_angle_alpha 90.00
_cell_angle_beta 90.00
_cell_angle_gamma 90.00
loop_
_atom_site_label
_atom_site_type_symbol
_atom_site_fract_x
_atom_site_fract_y
_atom_site_fract_z
Sr1 Sr 0.2500 0.2500 0.2500
Mg1 Mg 0.0000 0.0000 0.0000
N1 N 0.0000 0.0000 0.5000
```

---

Entry x
# Sr2MgN

A relaxed Sr2MgN crystal (GGA-PBE, Alexandria via LeMat-Bulk).

Properties
Its volume is 30.44 Å³/atom.

```
data_Sr2MgN
_space_group_name_H-M_alt 'R -3 m'
_space_group_IT_number 166
_space_group_name_Hall '-R 3 2"'
_cell_length_a 3.7487
_cell_length_b 3.7487
_cell_length_c 30.0134
_cell_angle_alpha 90.00
_cell_angle_beta 90.00
_cell_angle_gamma 120.00
loop_
_atom_site_label
_atom_site_type_symbol
_atom_site_fract_x
_atom_site_fract_y
_atom_site_fract_z
Sr1 Sr 0.0000 0.0000 0.1203
Mg1 Mg 0.0000 0.0000 0.0000
N1 N 0.0000 0.0000 0.5000
```

---

Entry y
# Sr2MgN

A relaxed Sr2MgN crystal (GGA-PBE, Alexandria via LeMat-Bulk).

Properties
Its volume is 32.69 Å³/atom.

```
data_Sr2MgN
_space_group_name_H-M_alt 'I -4 2 d'
_space_group_IT_number 122
_space_group_name_Hall 'I -4 2bw'
_cell_length_a 7.7688
_cell_length_b 7.7688
_cell_length_c 8.6654
_cell_angle_alpha 90.00
_cell_angle_beta 90.00
_cell_angle_gamma 90.00
loop_
_atom_site_label
_atom_site_type_symbol
_atom_site_fract_x
_atom_site_fract_y
_atom_site_fract_z
Sr1 Sr 0.1317 0.2500 0.1250
Mg1 Mg 0.0000 0.0000 0.5000
N1 N 0.0000 0.0000 0.0000
```

---

Stability ranking, top and bottom: entry x is the most stable and entry w is the least stable.

---

Entry w
# Mg3TaN

A relaxed Mg3TaN crystal (GGA-PBE, Alexandria via LeMat-Bulk).

Properties
Its volume is 31.39 Å³/atom.

```
data_Mg3TaN
_space_group_name_H-M_alt 'P m -3 m'
_space_group_IT_number 221
_space_group_name_Hall '-P 4 2 3'
_cell_length_a 5.3941
_cell_length_b 5.3941
_cell_length_c 5.3941
_cell_angle_alpha 90.00
_cell_angle_beta 90.00
_cell_angle_gamma 90.00
loop_
_atom_site_label
_atom_site_type_symbol
_atom_site_fract_x
_atom_site_fract_y
_atom_site_fract_z
Mg1 Mg 0.0000 0.0000 0.5000
Ta1 Ta 0.0000 0.0000 0.0000
N1 N 0.5000 0.5000 0.5000
```

---

Entry x
# Mg3TaN

A relaxed Mg3TaN crystal (GGA-PBE, Alexandria via LeMat-Bulk).

Properties
Its volume is 16.55 Å³/atom.

```
data_Mg3TaN
_space_group_name_H-M_alt 'P m -3 m'
_space_group_IT_number 221
_space_group_name_Hall '-P 4 2 3'
_cell_length_a 4.3580
_cell_length_b 4.3580
_cell_length_c 4.3580
_cell_angle_alpha 90.00
_cell_angle_beta 90.00
_cell_angle_gamma 90.00
loop_
_atom_site_label
_atom_site_type_symbol
_atom_site_fract_x
_atom_site_fract_y
_atom_site_fract_z
Mg1 Mg 0.0000 0.0000 0.5000
Ta1 Ta 0.5000 0.5000 0.5000
N1 N 0.0000 0.0000 0.0000
```

---

Stability ranking, top and bottom: entry x is the most stable and entry w is the least stable.